Entry 1:
GaH2N: optimized geometry, PBE.

```
data_GaH2N
_cell_length_a 2.664
_cell_length_b 2.664
_cell_length_c 5.273
_cell_angle_alpha 75.37
_cell_angle_beta 75.37
_cell_angle_gamma 60.00
_space_group_name_H-M_alt 'P 1'
_space_group_IT_number 1
loop_
_space_group_symop_operation_xyz
'x,y,z'
loop_
_atom_site_label
_atom_site_type_symbol
_atom_site_fract_x
_atom_site_fract_y
_atom_site_fract_z
H1 H 0.174 0.174 0.477
H2 H 0.826 0.826 0.523
Ga1 Ga 0.000 0.000 0.000
N1 N 0.500 0.500 0.500
```

## Properties
Symmetry = R-3m, No. 166
DOS(E_F) = 0.99 states/eV/cell
Final energy = -14.1 eV/cell

=====

Entry 2:
NaGaH2N: optimized geometry, PBE.

```
data_NaGaH2N
_cell_length_a 3.337
_cell_length_b 8.004
_cell_length_c 3.337
_cell_angle_alpha 90.00
_cell_angle_beta 90.00
_cell_angle_gamma 90.00
_space_group_name_H-M_alt 'P 1'
_space_group_IT_number 1
loop_
_space_group_symop_operation_xyz
'x,y,z'
loop_
_atom_site_label
_atom_site_type_symbol
_atom_site_fract_x
_atom_site_fract_y
_atom_site_fract_z
Na1 Na 0.000 0.000 0.000
H1 H 0.000 0.000 0.500
H2 H 0.500 0.000 0.000
Ga1 Ga 0.000 0.500 0.000
N1 N 0.500 0.500 0.500
```

## Properties
Symmetry = P4/mmm, No. 123
DOS(E_F) = 1.19 states/eV/cell
Final energy = -12.9 eV/cell

=====

Entry 3:
NaGaH8N4: optimized geometry, PBE.

```
data_NaGaH8N4
_cell_length_a 6.172
_cell_length_b 7.375
_cell_length_c 14.237
_cell_angle_alpha 99.71
_cell_angle_beta 90.00
_cell_angle_gamma 90.00
_space_group_name_H-M_alt 'P 1'
_space_group_IT_number 1
loop_
_space_group_symop_operation_xyz
'x,y,z'
loop_
_atom_site_label
_atom_site_type_symbol
_atom_site_fract_x
_atom_site_fract_y
_atom_site_fract_z
Na1 Na 0.859 0.208 0.678
Na2 Na 0.641 0.208 0.178
Na3 Na 0.359 0.792 0.822
Na4 Na 0.141 0.792 0.322
Ga1 Ga 0.182 0.284 0.853
Ga2 Ga 0.318 0.284 0.353
Ga3 Ga 0.682 0.716 0.647
Ga4 Ga 0.818 0.716 0.147
H1 H 0.443 0.120 0.941
H2 H 0.057 0.120 0.441
H3 H 0.203 0.098 0.982
H4 H 0.297 0.098 0.482
H5 H 0.808 0.192 0.900
H6 H 0.692 0.192 0.400
H7 H 0.324 0.100 0.702
H8 H 0.176 0.100 0.202
H9 H 0.368 0.317 0.700
H10 H 0.132 0.317 0.200
H11 H 0.794 0.396 0.871
H12 H 0.706 0.396 0.371
H13 H 0.932 0.470 0.574
H14 H 0.568 0.470 0.074
H15 H 0.688 0.418 0.537
H16 H 0.812 0.418 0.037
H17 H 0.188 0.582 0.963
H18 H 0.312 0.582 0.463
H19 H 0.432 0.530 0.926
H20 H 0.068 0.530 0.426
H21 H 0.294 0.604 0.629
H22 H 0.206 0.604 0.129
H23 H 0.868 0.683 0.800
H24 H 0.632 0.683 0.300
H25 H 0.824 0.900 0.798
H26 H 0.676 0.900 0.298
H27 H 0.308 0.808 0.600
H28 H 0.192 0.808 0.100
H29 H 0.703 0.902 0.518
H30 H 0.797 0.902 0.018
H31 H 0.943 0.880 0.559
H32 H 0.557 0.880 0.059
N1 N 0.286 0.091 0.920
N2 N 0.214 0.091 0.420
N3 N 0.255 0.227 0.719
N4 N 0.245 0.227 0.219
N5 N 0.867 0.271 0.853
N6 N 0.633 0.271 0.353
N7 N 0.276 0.533 0.902
N8 N 0.224 0.533 0.402
N9 N 0.776 0.467 0.598
N10 N 0.724 0.467 0.098
N11 N 0.367 0.729 0.647
N12 N 0.133 0.729 0.147
N13 N 0.755 0.773 0.781
N14 N 0.745 0.773 0.281
N15 N 0.786 0.909 0.580
N16 N 0.714 0.909 0.080
```

## Properties
Symmetry = P2_1/c, No. 14
DOS(E_F) = 0.00 states/eV/cell
Final energy = -280.0 eV/cell

=====

Entry 4:
NbGa2HN: optimized geometry, PBE.

```
data_NbGa2HN
_cell_length_a 5.204
_cell_length_b 3.463
_cell_length_c 5.204
_cell_angle_alpha 90.00
_cell_angle_beta 90.00
_cell_angle_gamma 90.00
_space_group_name_H-M_alt 'P 1'
_space_group_IT_number 1
loop_
_space_group_symop_operation_xyz
'x,y,z'
loop_
_atom_site_label
_atom_site_type_symbol
_atom_site_fract_x
_atom_site_fract_y
_atom_site_fract_z
H1 H 0.000 0.500 0.000
Nb1 Nb 0.000 0.000 0.000
Ga1 Ga 0.000 0.000 0.500
Ga2 Ga 0.500 0.000 0.000
N1 N 0.500 0.500 0.500
```

## Properties
Symmetry = P4/mmm, No. 123
DOS(E_F) = 4.33 states/eV/cell
Final energy = -21.0 eV/cell

=====

Entry 5:
Ga2Ni6HN: optimized geometry, PBE.

```
data_Ga2Ni6HN
_cell_length_a 5.239
_cell_length_b 5.239
_cell_length_c 5.244
_cell_angle_alpha 60.04
_cell_angle_beta 60.04
_cell_angle_gamma 90.10
_space_group_name_H-M_alt 'P 1'
_space_group_IT_number 1
loop_
_space_group_symop_operation_xyz
'x,y,z'
loop_
_atom_site_label
_atom_site_type_symbol
_atom_site_fract_x
_atom_site_fract_y
_atom_site_fract_z
Ga1 Ga 0.750 0.250 0.500
Ga2 Ga 0.250 0.750 0.500
Ni1 Ni 0.248 0.248 0.503
Ni2 Ni 0.752 0.752 0.000
Ni3 Ni 0.248 0.752 0.000
Ni4 Ni 0.752 0.248 0.000
Ni5 Ni 0.248 0.248 0.000
Ni6 Ni 0.752 0.752 0.497
H1 H 0.000 0.000 0.000
N1 N 0.500 0.500 0.000
```

## Properties
Symmetry = I4/mmm, No. 139
DOS(E_F) = 6.59 states/eV/cell
Final energy = -54.5 eV/cell